# HfNiO2F, relaxed, DFT GGA+U
data_HfNiO2F
_chemical_formula_sum 'Hf1 Ni1 O2 F1'
_space_group_name_H-M_alt 'P 4/m m m'
_space_group_IT_number 123
_space_group_name_Hall '-P 4 2'
_cell_length_a 3.891
_cell_length_b 3.891
_cell_length_c 3.672
_cell_angle_alpha 90.00
_cell_angle_beta 90.00
_cell_angle_gamma 90.00
loop_
_atom_site_label
_atom_site_fract_x
_atom_site_fract_y
_atom_site_fract_z
_atom_site_occupancy
Hf1 0.000 0.000 0.000 1
Ni1 0.500 0.500 0.500 1
O1 0.000 0.500 0.500 1
F1 0.500 0.500 0.000 1
# - magnetization (μB per atom) = 0.332
# - density of states at the Fermi level (states/eV/atom) = 0.453
# - E (eV/atom) = -6.21